Arrangement 1

## Mg5In2Hg12 (PBE)

Data for crystalline Mg5In2Hg12 at its relaxed geometry.

Cell and atoms, written as POSCAR:
```
Mg5In2Hg12
1.0
7.3579 -0.3205 2.5385
-0.7813 6.3125 3.0615
0.0952 -0.7927 9.7971
Mg Hg In
5 12 2
direct
0.8684 0.7009 0.5981
0.1316 0.2991 0.4019
0.4796 0.2352 0.5296
0.5000 0.0000 0.0000
0.5204 0.7648 0.4704
0.4946 0.6073 0.2405
0.7345 0.5290 0.9420
0.8233 0.5334 0.3702
0.1767 0.9036 0.6298
0.1767 0.4666 0.6298
0.5054 0.8479 0.7595
0.5054 0.3927 0.7595
0.2655 0.4710 0.0580
0.8233 0.0964 0.3702
0.8465 0.1304 0.7392
0.4946 0.1521 0.2405
0.1535 0.8696 0.2608
0.0000 0.2203 0.0000
0.0000 0.7797 0.0000
```

Arrangement 2

## Mg5In2Hg12 (PBE)

Data for crystalline Mg5In2Hg12 at its relaxed geometry.

Cell and atoms, written as POSCAR:
```
Mg5In2Hg12
1.0
-3.9443 2.2947 -4.3668
-4.4591 -3.5082 6.7519
2.1815 9.2407 2.8854
Mg In Hg
5 2 12
direct
0.3588 0.7176 0.1401
0.6412 0.2824 0.8599
0.0000 0.0000 0.5000
0.6881 0.3762 0.3547
0.3119 0.6238 0.6453
0.7394 0.0000 0.0000
0.2606 0.0000 0.0000
0.9238 0.8476 0.1965
0.9580 0.3983 0.1201
0.0762 0.1524 0.8035
0.4116 0.3178 0.5862
0.5884 0.6822 0.4138
0.5597 0.6017 0.8799
0.0420 0.6017 0.8799
0.9063 0.3178 0.5862
0.4853 0.9706 0.6556
0.0937 0.6822 0.4138
0.5147 0.0294 0.3444
0.4403 0.3983 0.1201
```

Which of the structures shown above is the most stable? The most stable is arrangement 1.